Compound: CaYOF2
Source: Alexandria
Functional: GGA-PBE
Structure: relaxed

abc: 4.5383 4.5383 4.3855
angles: 90.00 90.00 90.00
Fractional positions:
Ca: 0.0000 0.0000 0.0000
Y: 0.5000 0.5000 0.5000
O: 0.5000 0.5000 0.0000
F: 0.0000 0.5000 0.5000
F: 0.5000 0.0000 0.5000

Output
- Energy above the lowest structure with this stoichiometry: 0.00 eV/f.u.
- Final energy: -6.38 eV/atom
- V: 18.065 Å³/atom
- Fermi-level density of states: 1.34 states/eV/f.u.

***

Compound: CaOs2F
Source: Alexandria
Functional: GGA-PBE
Structure: relaxed

abc: 4.5754 4.5754 4.5754
angles: 60.00 60.00 60.00
Fractional positions:
Ca: 0.0000 0.0000 0.0000
Os: 0.2500 0.2500 0.2500
Os: 0.7500 0.7500 0.7500
F: 0.5000 0.5000 0.5000

Output
- Final energy: -5.13 eV/atom
- V: 16.932 Å³/atom
- Fermi-level density of states: 7.37 states/eV/f.u.

***

Compound: CaOsF3
Source: Alexandria
Functional: GGA-PBE
Structure: relaxed

abc: 4.3202 4.3202 4.3202
angles: 90.00 90.00 90.00
Fractional positions:
Ca: 0.0000 0.0000 0.0000
Os: 0.5000 0.5000 0.5000
F: 0.0000 0.5000 0.5000
F: 0.5000 0.0000 0.5000
F: 0.5000 0.5000 0.0000

Output
- Energy above the lowest structure with this stoichiometry: 1.10 eV/f.u.
- Final energy: -4.85 eV/atom
- V: 16.126 Å³/atom
- Fermi-level density of states: 3.13 states/eV/f.u.

***

Compound: CaOsF3
Source: Alexandria
Functional: GGA-PBE
Structure: relaxed

abc: 4.4661 4.4661 4.4661
angles: 90.00 90.00 90.00
Fractional positions:
Ca: 0.0000 0.0000 0.0000
Os: 0.5000 0.5000 0.5000
F: 0.0000 0.0000 0.5000
F: 0.0000 0.5000 0.0000
F: 0.5000 0.0000 0.0000

Output
- Energy above the lowest structure with this stoichiometry: 0.00 eV/f.u.
- Final energy: -5.07 eV/atom
- V: 17.817 Å³/atom
- Fermi-level density of states: 5.88 states/eV/f.u.

***

Compound: CaOs2PdF
Source: Alexandria
Functional: GGA-PBE
Structure: relaxed

abc: 4.7462 4.7462 5.7397
angles: 90.00 90.00 90.00
Fractional positions:
Ca: 0.0000 0.0000 0.0000
Os: 0.0000 0.5000 0.5000
Os: 0.5000 0.0000 0.5000
Pd: 0.0000 0.0000 0.5000
F: 0.5000 0.5000 0.0000

Output
- Final energy: -5.05 eV/atom
- V: 25.859 Å³/atom
- Fermi-level density of states: 5.52 states/eV/f.u.